[1]
Computed, not measured: crystalline ZrTiAs2Br at its relaxed geometry at the PBEsol level of DFT.

Output
formation energy from raw total energies = 0.205 eV/f.u.
DOS(E_F) = 4.9 states/eV per cell
size of the total moment = 0.9 μB/f.u.
space group = P4/mmm

Structure (POSCAR):
```
ZrTiAs2Br
1.0
-4.476 1.235 1.370
-1.698 -1.355 -4.326
-0.707 -4.395 1.654
As Zr Ti Br
2 1 1 1
Direct
0.000 0.500 0.000 As
0.500 0.000 0.000 As
0.500 0.500 0.500 Zr
0.000 0.000 0.000 Ti
0.000 0.000 0.500 Br
```

=====

[2]
Computed, not measured: crystalline HoTmZn2 at its relaxed geometry at the PBEsol level of DFT.

Output
DOS(E_F) = 4.6 states/eV per cell
size of the total moment = 0.0 μB/f.u.
space group = Fm-3m
ΔE_f = -349 meV per atom

Structure (POSCAR):
```
HoTmZn2
1.0
4.913 0.000 0.000
2.456 4.255 0.000
2.456 1.418 4.011
Ho Tm Zn
1 1 2
Direct
0.500 0.500 0.500 Ho
0.000 0.000 0.000 Tm
0.750 0.750 0.750 Zn
0.250 0.250 0.250 Zn
```

=====

[3]
Computed, not measured: crystalline Al3Si3Ag4IO12 at its relaxed geometry at the PBEsol level of DFT.

Output
formation energy from raw total energies = -48.674 eV/f.u.
DOS(E_F) = 0.0 states/eV per cell
size of the total moment = 0.0 μB/f.u.
space group = P-43n

Structure (POSCAR):
```
Al3Si3Ag4IO12
1.0
-3.110 -4.430 -7.117
-4.901 -5.198 5.377
-6.802 5.771 -0.620
O Ag Si I Al
24 8 6 2 6
Direct
0.937 0.648 0.638 O
0.362 0.937 0.352 O
0.937 0.352 0.362 O
0.437 0.862 0.852 O
0.063 0.648 0.362 O
0.362 0.063 0.648 O
0.563 0.862 0.148 O
0.148 0.563 0.862 O
0.138 0.852 0.563 O
0.648 0.362 0.063 O
0.638 0.937 0.648 O
0.648 0.638 0.937 O
0.063 0.352 0.638 O
0.862 0.852 0.437 O
0.862 0.148 0.563 O
0.138 0.148 0.437 O
0.852 0.563 0.138 O
0.638 0.063 0.352 O
0.563 0.138 0.852 O
0.852 0.437 0.862 O
0.148 0.437 0.138 O
0.352 0.638 0.063 O
0.437 0.138 0.148 O
0.352 0.362 0.937 O
0.327 0.327 0.673 Ag
0.827 0.173 0.827 Ag
0.327 0.673 0.327 Ag
0.173 0.827 0.827 Ag
0.827 0.827 0.173 Ag
0.673 0.673 0.673 Ag
0.673 0.327 0.327 Ag
0.173 0.173 0.173 Ag
0.000 0.250 0.500 Si
0.250 0.500 0.000 Si
0.750 0.500 0.000 Si
0.500 0.000 0.750 Si
0.000 0.750 0.500 Si
0.500 0.000 0.250 Si
0.000 0.000 0.000 I
0.500 0.500 0.500 I
0.000 0.500 0.250 Al
0.250 0.000 0.500 Al
0.500 0.750 0.000 Al
0.000 0.500 0.750 Al
0.750 0.000 0.500 Al
0.500 0.250 0.000 Al
```